A geometry-optimized SmY2Os structure, computed with GGA-PBE.

CIF file:
```
data_SmY2Os
_chemical_formula_sum 'Sm1 Y2 Os1'
_symmetry_space_group_name_H-M 'P 1'
_symmetry_Int_Tables_number 1
_cell_length_a 3.464
_cell_length_b 3.464
_cell_length_c 11.165
_cell_angle_alpha 81.07
_cell_angle_beta 81.07
_cell_angle_gamma 60.00
loop_
_symmetry_equiv_pos_as_xyz
'x,y,z'
loop_
_atom_site_label
_atom_site_type_symbol
_atom_site_fract_x
_atom_site_fract_y
_atom_site_fract_z
Sm1 Sm 0.000 0.000 0.000
Y1 Y 0.894 0.894 0.318
Y2 Y 0.106 0.106 0.682
Os1 Os 0.500 0.500 0.500
```

## Properties
E_form (eV per atom): 0.293
Polymorph energy (0 for the lowest one) (meV/atom): 502